Compound: Ca2LaNdTl4
Source: Alexandria
Functional: PBE-GGA
Structure: optimized geometry

## Properties
* total magnetic moment: 0.000 μB per formula unit
* E_tot: -3.313 eV/atom
* space-group type: No. 166

Lattice parameters (Å, degrees): 5.544 5.544 9.612 73.24 73.24 60.00
Fractional coordinates of all 8 atoms:
Ca 0.750 0.750 0.749
Ca 0.250 0.250 0.251
La 0.000 0.000 0.000
Nd 0.500 0.500 0.500
Tl 0.376 0.376 0.872
Tl 0.874 0.874 0.377
Tl 0.126 0.126 0.623
Tl 0.624 0.624 0.128

=====

Compound: InIr
Source: Alexandria
Functional: PBE-GGA
Structure: optimized geometry

## Properties
* total magnetic moment: 0.000 μB per formula unit
* E_tot: -5.724 eV/atom
* space-group type: No. 74

Lattice parameters (Å, degrees): 6.127 6.127 6.127 152.52 135.72 52.91
Fractional coordinates of all 4 atoms:
In 0.345 0.595 0.250
In 0.655 0.405 0.750
Ir 0.898 0.148 0.250
Ir 0.102 0.852 0.750

=====

Compound: PuUV
Source: Alexandria
Functional: PBE-GGA
Structure: optimized geometry

## Properties
* energy above the lowest structure with this stoichiometry: 0.148 eV/atom
* total magnetic moment: 1.567 μB per formula unit
* E_tot: -11.238 eV/atom
* space-group type: No. 63

Lattice parameters (Å, degrees): 3.551 3.472 8.891 78.74 90.00 90.00
Fractional coordinates of all 6 atoms:
V 0.250 0.118 0.764
V 0.750 0.882 0.236
Pu 0.250 0.455 0.089
Pu 0.750 0.545 0.911
U 0.750 0.714 0.572
U 0.250 0.286 0.428

=====

Compound: CsW3Br
Source: Alexandria
Functional: PBE-GGA
Structure: optimized geometry

## Properties
* energy above the lowest structure with this stoichiometry: 0.000 eV/atom
* formation energy without anion corrections: 14.11 eV/f.u.
* total magnetic moment: 0.000 μB per formula unit
* E_tot: -5.456 eV/atom
* space-group type: No. 221

Lattice parameters (Å, degrees): 4.852 4.852 4.852 90.00 90.00 90.00
Fractional coordinates of all 5 atoms:
Cs 0.500 0.500 0.500
Br 0.000 0.000 0.000
W 0.000 0.500 0.000
W 0.000 0.000 0.500
W 0.500 0.000 0.000

=====

Compound: LiFeBr2
Source: Alexandria
Functional: PBE-GGA
Structure: optimized geometry

## Properties
* energy above the lowest structure with this stoichiometry: 0.108 eV/atom
* formation energy without anion corrections: -1.67 eV/f.u.
* total magnetic moment: 3.001 μB per formula unit
* E_tot: -3.849 eV/atom
* space-group type: No. 10

Lattice parameters (Å, degrees): 3.641 5.203 7.677 129.45 90.00 90.00
Fractional coordinates of all 4 atoms:
Br 0.000 0.222 0.006
Br 0.000 0.278 0.494
Fe 0.500 0.250 0.250
Li 0.500 0.750 0.750

=====

Compound: MgUSb2
Source: Alexandria
Functional: PBE-GGA
Structure: optimized geometry

## Properties
* energy above the lowest structure with this stoichiometry: 0.107 eV/atom
* formation energy without anion corrections: -0.68 eV/f.u.
* total magnetic moment: 1.990 μB per formula unit
* E_tot: -5.452 eV/atom
* space-group type: No. 166

Lattice parameters (Å, degrees): 4.395 4.395 7.264 72.39 72.39 60.00
Fractional coordinates of all 4 atoms:
Sb 0.252 0.252 0.244
Sb 0.748 0.748 0.756
Mg 0.000 0.000 0.000
U 0.500 0.500 0.500

=====

Compound: LiAsPb2
Source: Alexandria
Functional: PBE-GGA
Structure: optimized geometry

## Properties
* total magnetic moment: 0.000 μB per formula unit
* E_tot: -3.626 eV/atom
* space-group type: No. 99

Lattice parameters (Å, degrees): 3.737 3.736 7.063 90.00 90.00 90.00
Fractional coordinates of all 4 atoms:
As 0.000 0.000 0.539
Li 0.500 0.500 0.706
Pb 0.000 0.000 0.954
Pb 0.500 0.500 0.301

=====

Compound: Li3Ga4Pd4
Source: Alexandria
Functional: PBE-GGA
Structure: optimized geometry

## Properties
* total magnetic moment: 0.000 μB per formula unit
* E_tot: -3.973 eV/atom
* space-group type: No. 71

Lattice parameters (Å, degrees): 3.689 7.669 7.749 119.66 103.77 90.00
Fractional coordinates of all 11 atoms:
Li 0.103 0.103 0.207
Li 0.897 0.897 0.793
Li 0.000 0.500 0.000
Ga 0.332 0.150 0.664
Ga 0.668 0.486 0.336
Ga 0.668 0.850 0.336
Ga 0.332 0.514 0.664
Pd 0.258 0.758 0.515
Pd 0.742 0.242 0.485
Pd 0.500 0.823 0.000
Pd 0.500 0.177 0.000

=====

Compound: Cd2Ru
Source: Alexandria
Functional: PBE-GGA
Structure: optimized geometry

## Properties
* total magnetic moment: 1.459 μB per formula unit
* E_tot: -3.029 eV/atom
* space-group type: No. 227

Lattice parameters (Å, degrees): 5.435 5.435 5.435 60.00 60.00 60.00
Fractional coordinates of all 6 atoms:
Cd 0.125 0.625 0.125
Cd 0.125 0.125 0.625
Cd 0.625 0.125 0.125
Cd 0.125 0.125 0.125
Ru 0.750 0.750 0.750
Ru 0.500 0.500 0.500

=====

Compound: Ac2TbCd2
Source: Alexandria
Functional: PBE-GGA
Structure: optimized geometry

## Properties
* energy above the lowest structure with this stoichiometry: 0.017 eV/atom
* total magnetic moment: 0.000 μB per formula unit
* E_tot: -3.080 eV/atom
* space-group type: No. 71

Lattice parameters (Å, degrees): 4.119 7.018 7.018 65.89 72.93 72.93
Fractional coordinates of all 5 atoms:
Ac 0.218 0.282 0.282
Ac 0.782 0.718 0.718
Tb 0.000 0.000 0.000
Cd 0.500 0.303 0.697
Cd 0.500 0.697 0.303

=====

Compound: ScInBiI2
Source: Alexandria
Functional: PBE-GGA
Structure: optimized geometry

## Properties
* formation energy without anion corrections: 2.19 eV/f.u.
* total magnetic moment: 0.002 μB per formula unit
* E_tot: -2.772 eV/atom
* space-group type: No. 123

Lattice parameters (Å, degrees): 5.839 5.903 5.839 90.00 90.00 90.00
Fractional coordinates of all 5 atoms:
I 0.000 0.000 0.500
I 0.500 0.000 0.000
Sc 0.000 0.500 0.000
Bi 0.500 0.500 0.500
In 0.000 0.000 0.000

=====

Compound: AlZnSi2
Source: Alexandria
Functional: PBE-GGA
Structure: optimized geometry

## Properties
* energy above the lowest structure with this stoichiometry: 0.041 eV/atom
* formation energy without anion corrections: 1.04 eV/f.u.
* total magnetic moment: 0.000 μB per formula unit
* E_tot: -3.705 eV/atom
* space-group type: No. 8

Lattice parameters (Å, degrees): 5.048 5.048 4.823 73.66 73.66 31.82
Fractional coordinates of all 4 atoms:
Zn 0.492 0.492 0.534
Si 0.016 0.016 0.028
Si 0.734 0.734 0.724
Al 0.258 0.258 0.214

=====

Compound: Hf4CoRh
Source: Alexandria
Functional: PBE-GGA
Structure: optimized geometry

## Properties
* energy above the lowest structure with this stoichiometry: 0.163 eV/atom
* total magnetic moment: 0.000 μB per formula unit
* E_tot: -9.281 eV/atom
* space-group type: No. 10

Lattice parameters (Å, degrees): 6.264 6.263 7.666 113.55 113.54 90.37
Fractional coordinates of all 12 atoms:
Hf 0.130 0.130 0.259
Hf 0.129 0.630 0.259
Hf 0.630 0.129 0.259
Hf 0.629 0.629 0.259
Hf 0.370 0.871 0.741
Hf 0.371 0.371 0.741
Hf 0.870 0.870 0.741
Hf 0.871 0.370 0.741
Co 0.500 0.500 0.500
Co 0.000 0.000 0.500
Rh 0.250 0.750 0.000
Rh 0.750 0.250 0.000

=====

Compound: MnCr2W
Source: Alexandria
Functional: PBE-GGA
Structure: optimized geometry

## Properties
* energy above the lowest structure with this stoichiometry: 0.201 eV/atom
* total magnetic moment: 1.734 μB per formula unit
* E_tot: -10.061 eV/atom
* space-group type: No. 123

Lattice parameters (Å, degrees): 4.227 3.500 3.500 90.00 90.00 90.00
Fractional coordinates of all 4 atoms:
Cr 0.000 0.000 0.000
Cr 0.000 0.500 0.500
Mn 0.500 0.500 0.000
W 0.500 0.000 0.500

=====

Compound: Ac6TlAu2
Source: Alexandria
Functional: PBE-GGA
Structure: optimized geometry

## Properties
* total magnetic moment: 0.000 μB per formula unit
* E_tot: -4.153 eV/atom
* space-group type: No. 71

Lattice parameters (Å, degrees): 9.578 9.578 9.578 104.66 109.07 114.85
Fractional coordinates of all 18 atoms:
Ac 0.535 0.714 0.821
Ac 0.465 0.286 0.179
Ac 0.107 0.286 0.821
Ac 0.893 0.714 0.179
Ac 0.808 0.763 0.571
Ac 0.192 0.237 0.429
Ac 0.192 0.763 0.956
Ac 0.808 0.237 0.044
Ac 0.694 0.364 0.670
Ac 0.306 0.636 0.330
Ac 0.306 0.976 0.670
Ac 0.694 0.024 0.330
Tl 0.000 0.500 0.500
Tl 0.000 0.000 0.000
Au 0.500 0.372 0.872
Au 0.500 0.628 0.128
Au 0.660 0.000 0.660
Au 0.340 0.000 0.340

=====

Compound: Zr2TiSbC
Source: Alexandria
Functional: PBE-GGA
Structure: optimized geometry

## Properties
* energy above the lowest structure with this stoichiometry: 0.000 eV/atom
* formation energy without anion corrections: -2.65 eV/f.u.
* total magnetic moment: 0.001 μB per formula unit
* E_tot: -8.198 eV/atom
* space-group type: No. 123

Lattice parameters (Å, degrees): 4.665 4.665 4.116 90.00 90.00 90.00
Fractional coordinates of all 5 atoms:
Sb 0.500 0.500 0.500
C 0.000 0.000 0.000
Zr 0.000 0.500 0.000
Zr 0.500 0.000 0.000
Ti 0.000 0.000 0.500

=====

Compound: K2LaSc
Source: Alexandria
Functional: PBE-GGA
Structure: optimized geometry

## Properties
* energy above the lowest structure with this stoichiometry: 0.311 eV/atom
* total magnetic moment: 0.121 μB per formula unit
* E_tot: -2.748 eV/atom
* space-group type: No. 47

Lattice parameters (Å, degrees): 3.423 6.976 7.018 90.00 90.00 90.00
Fractional coordinates of all 4 atoms:
K 0.000 0.000 0.992
K 0.000 0.000 0.508
La 0.500 0.500 0.250
Sc 0.500 0.500 0.750

=====

Compound: CaPmAg3
Source: Alexandria
Functional: PBE-GGA
Structure: optimized geometry

## Properties
* energy above the lowest structure with this stoichiometry: 0.000 eV/atom
* total magnetic moment: 0.000 μB per formula unit
* E_tot: -3.324 eV/atom
* space-group type: No. 63

Lattice parameters (Å, degrees): 3.704 4.810 14.151 90.00 97.52 90.00
Fractional coordinates of all 10 atoms:
Ca 0.207 0.750 0.415
Ca 0.793 0.250 0.585
Pm 0.926 0.750 0.853
Pm 0.074 0.250 0.147
Ag 0.620 0.750 0.240
Ag 0.380 0.250 0.760
Ag 0.523 0.750 0.046
Ag 0.477 0.250 0.954
Ag 0.674 0.250 0.349
Ag 0.326 0.750 0.651

=====

Compound: Li2HoBr5
Source: Alexandria
Functional: PBE-GGA
Structure: optimized geometry

## Properties
* formation energy without anion corrections: -13.10 eV/f.u.
* total magnetic moment: 0.000 μB per formula unit
* E_tot: -3.734 eV/atom
* space-group type: No. 8

Lattice parameters (Å, degrees): 7.140 7.452 7.452 67.48 64.76 64.76
Fractional coordinates of all 8 atoms:
Li 0.504 0.639 0.080
Li 0.504 0.080 0.639
Ho 0.992 0.008 0.008
Br 0.633 0.256 0.256
Br 0.137 0.328 0.788
Br 0.137 0.788 0.328
Br 0.369 0.768 0.768
Br 0.723 0.910 0.910

=====

Compound: AcPrDy2Er
Source: Alexandria
Functional: PBE-GGA
Structure: optimized geometry

## Properties
* total magnetic moment: 0.002 μB per formula unit
* E_tot: -4.144 eV/atom
* space-group type: No. 63

Lattice parameters (Å, degrees): 6.482 6.489 9.408 110.17 90.00 90.00
Fractional coordinates of all 10 atoms:
Ac 0.250 0.659 0.317
Ac 0.750 0.341 0.683
Pr 0.250 0.847 0.694
Pr 0.750 0.153 0.306
Dy 0.500 0.248 0.000
Dy 0.000 0.752 0.000
Dy 0.500 0.752 0.000
Dy 0.000 0.248 0.000
Er 0.750 0.750 0.500
Er 0.250 0.250 0.500